The following is a DFT calculation (GGA-PBE) of an optimized crystal structure of AsPdSe2F.

Values from the calculation:
* space-group type: P4/mmm, No. 123
* formation energy (no corrections): 0.45 eV per atom

Cell: 4.938 4.938 4.025 Å, 90.00 90.00 90.00°
Atoms (fractional coordinates):
As1 0.000 0.000 0.000
Pd1 0.500 0.500 0.000
Se1 0.000 0.500 0.500
Se2 0.500 0.000 0.500
F1 0.000 0.000 0.500

The following is a DFT calculation (GGA-PBE) of an optimized crystal structure of Ti2GaCu7Au2.

Values from the calculation:
* space-group type: C2/m, No. 12
* energy of formation from the pure elements: 17.4 meV/atom

Cell: 3.407 3.407 15.414 Å, 96.28 96.28 90.01°
Atoms (fractional coordinates):
Ti1 0.138 0.138 0.276
Ti2 0.862 0.862 0.724
Ga1 0.500 0.500 0.000
Cu1 0.000 0.000 0.000
Cu2 0.065 0.565 0.136
Cu3 0.231 0.231 0.459
Cu4 0.435 0.935 0.864
Cu5 0.565 0.065 0.136
Cu6 0.769 0.769 0.541
Cu7 0.935 0.435 0.864
Au1 0.316 0.316 0.632
Au2 0.684 0.684 0.368

The following is a DFT calculation (GGA-PBE) of an optimized crystal structure of Tl3AgSn.

Values from the calculation:
* space-group type: Pm-3m, No. 221
* energy of formation from the pure elements: 315.3 meV/atom

Cell: 5.485 5.485 5.485 Å, 90.00 90.00 90.00°
Atoms (fractional coordinates):
Tl1 0.000 0.000 0.500
Tl2 0.000 0.500 0.000
Tl3 0.500 0.000 0.000
Ag1 0.000 0.000 0.000
Sn1 0.500 0.500 0.500

The following is a DFT calculation (GGA-PBE) of an optimized crystal structure of Tl2AsPbSe4.

Values from the calculation:
* space-group type: Imma, No. 74
* formation energy (no corrections): -0.28 eV per atom

Cell: 8.581 8.581 8.581 Å, 122.11 118.25 89.72°
Atoms (fractional coordinates):
Tl1 0.000 0.000 0.000
Tl2 0.500 0.000 0.000
Tl3 0.500 0.000 0.500
Tl4 0.500 0.500 0.500
As1 0.000 0.000 0.500
As2 0.000 0.500 0.000
Pb1 0.000 0.500 0.500
Pb2 0.500 0.500 0.000
Se1 0.211 0.749 0.462
Se2 0.213 0.251 0.962
Se3 0.230 0.231 0.501
Se4 0.230 0.729 0.999
Se5 0.770 0.271 0.001
Se6 0.770 0.769 0.499
Se7 0.787 0.749 0.038
Se8 0.789 0.251 0.538

The following is a DFT calculation (GGA-PBE) of an optimized crystal structure of K2MoOs.

Values from the calculation:
* space-group type: C2/m, No. 12
* energy of formation from the pure elements: 831.2 meV/atom

Cell: 10.609 10.609 3.905 Å, 100.24 100.24 17.43°
Atoms (fractional coordinates):
K1 0.148 0.148 0.144
K2 0.852 0.852 0.856
Mo1 0.000 0.000 0.500
Os1 0.500 0.500 0.000

The following is a DFT calculation (GGA-PBE) of an optimized crystal structure of LiTb3Ag2.

Values from the calculation:
* space-group type: P4/mmm, No. 123
* energy of formation from the pure elements: -168.6 meV/atom

Cell: 3.669 3.669 10.999 Å, 90.00 90.00 90.00°
Atoms (fractional coordinates):
Li1 0.000 0.000 0.000
Tb1 0.500 0.500 0.172
Tb2 0.500 0.500 0.500
Tb3 0.500 0.500 0.828
Ag1 0.000 0.000 0.331
Ag2 0.000 0.000 0.669

The following is a DFT calculation (GGA-PBE) of an optimized crystal structure of Rb3CaTh3Te8.

Values from the calculation:
* space-group type: C2/m, No. 12
* formation energy (no corrections): -1.26 eV per atom

Cell: 9.120 9.120 10.202 Å, 116.56 116.56 60.00°
Atoms (fractional coordinates):
Rb1 0.000 0.000 0.000
Rb2 0.000 0.500 0.000
Rb3 0.500 0.000 0.000
Ca1 0.000 0.000 0.500
Th1 0.000 0.500 0.500
Th2 0.500 0.000 0.500
Th3 0.500 0.500 0.500
Te1 0.238 0.238 0.702
Te2 0.238 0.726 0.703
Te3 0.264 0.264 0.292
Te4 0.274 0.762 0.297
Te5 0.726 0.238 0.703
Te6 0.736 0.736 0.708
Te7 0.762 0.274 0.297
Te8 0.762 0.762 0.298

The following is a DFT calculation (GGA-PBE) of an optimized crystal structure of Dy5CdPt2.

Values from the calculation:
* space-group type: I4/mcm, No. 140
* energy of formation from the pure elements: -766.7 meV/atom

Cell: 8.687 8.687 8.687 Å, 125.94 125.94 79.98°
Atoms (fractional coordinates):
Dy1 0.000 0.000 0.000
Dy2 0.023 0.523 0.819
Dy3 0.204 0.023 0.500
Dy4 0.296 0.796 0.819
Dy5 0.477 0.296 0.500
Dy6 0.500 0.500 0.000
Dy7 0.523 0.704 0.500
Dy8 0.704 0.204 0.181
Dy9 0.796 0.977 0.500
Dy10 0.977 0.477 0.181
Cd1 0.250 0.250 0.000
Cd2 0.750 0.750 0.000
Pt1 0.136 0.364 0.500
Pt2 0.364 0.864 0.227
Pt3 0.636 0.136 0.773
Pt4 0.864 0.636 0.500

The following is a DFT calculation (GGA-PBE) of an optimized crystal structure of Sm2ScZn2Rh5.

Values from the calculation:
* space-group type: P4/mbm, No. 127
* energy of formation from the pure elements: -654.4 meV/atom

Cell: 9.895 9.895 3.612 Å, 90.00 90.00 90.00°
Atoms (fractional coordinates):
Sm1 0.174 0.326 0.000
Sm2 0.326 0.826 0.000
Sm3 0.674 0.174 0.000
Sm4 0.826 0.674 0.000
Sc1 0.000 0.000 0.000
Sc2 0.500 0.500 0.000
Zn1 0.123 0.623 0.000
Zn2 0.377 0.123 0.000
Zn3 0.623 0.877 0.000
Zn4 0.877 0.377 0.000
Rh1 0.000 0.500 0.500
Rh2 0.067 0.796 0.500
Rh3 0.204 0.067 0.500
Rh4 0.296 0.567 0.500
Rh5 0.433 0.296 0.500
Rh6 0.500 0.000 0.500
Rh7 0.567 0.704 0.500
Rh8 0.704 0.433 0.500
Rh9 0.796 0.933 0.500
Rh10 0.933 0.204 0.500